Below is crystalline As3SCl at its relaxed geometry, with properties calculated at the PBE-GGA level.

Output
- energy above the most stable polymorph in this dataset (meV/atom) = 0
- total energy (eV for the cell shown) = -16.11
- SG = Pm-3m
- crystal system = cubic
- total moment (μB per formula unit) = 0.000

Lattice parameters (Å, degrees): 4.8574 4.8574 4.8574 90.00 90.00 90.00
Positions (direct):
Cl: 0.5000 0.5000 0.5000
As: 0.0000 0.0000 0.5000
As: 0.0000 0.5000 0.0000
As: 0.5000 0.0000 0.0000
S: 0.0000 0.0000 0.0000